Li3CuS2: relaxed, PBE.

Results
The calculation puts the total magnetization at 0.00 μB/cell. The calculation puts the density at 2.9 g cm⁻³. The uncorrected formation energy is -97 kJ/mol of atoms.

Lattice parameters (Å, degrees): 5.317 12.136 5.314 90.00 90.00 90.00
Space group Pbcn (No. 60)
Asymmetric unit:
Li: 0.000 0.250 0.250 (multiplicity 4)
Li: 0.250 0.074 0.000 (multiplicity 8)
Cu: 0.000 0.250 0.750 (multiplicity 4)
S: 0.250 0.128 0.500 (multiplicity 8)

RbHg2B: relaxed, PBE.

Results
The calculation puts the total magnetization at 0.00 μB/cell. For the formation energy from the elements, the calculation gives 0.240 eV/atom. The calculation puts the density at 6.3 g cm⁻³.

Lattice parameters (Å, degrees): 6.875 6.875 11.075 90.00 90.00 90.00
Space group I-42d (No. 122)
Asymmetric unit:
Rb: 0.000 0.000 0.000 (multiplicity 4)
Hg: 0.003 0.250 0.625 (multiplicity 8)
B: 0.000 0.000 0.500 (multiplicity 4)

SiAsSe: relaxed, PBE.

Results
The calculation puts the total magnetization at 0.00 μB/cell. The calculation puts the density at 4.8 g cm⁻³. The uncorrected formation energy is 48 kJ/mol of atoms. For the energy above the lowest structure with this stoichiometry, the calculation gives 456.6 meV/atom.

Lattice parameters (Å, degrees): 2.965 2.965 14.389 90.00 90.00 90.00
Space group I4mm (No. 107)
Asymmetric unit:
Si: 0.000 0.000 0.000 (multiplicity 2)
As: 0.000 0.000 0.372 (multiplicity 2)
Se: 0.000 0.000 0.631 (multiplicity 2)

YGaPd6: relaxed, PBE.

Results
The calculation puts the total magnetization at 0.00 μB/cell. For the formation energy from the elements, the calculation gives -0.207 eV/atom. The calculation puts the density at 8.6 g cm⁻³. For the energy above the lowest structure with this stoichiometry, the calculation gives 448.5 meV/atom.

Lattice parameters (Å, degrees): 7.6173 7.6173 9.1923 90.00 90.00 120.00
Space group R-3m (No. 166, hexagonal axes)
Asymmetric unit:
Y: 0.0000 0.0000 0.0000 (multiplicity 3)
Ga: 0.0000 0.0000 0.5000 (multiplicity 3)
Pd: 0.0866 0.5433 0.3670 (multiplicity 18)

TlRhBr2: relaxed, PBE.

Results
The calculation puts the total magnetization at 8.15 μB/cell. The calculation puts the density at 7.8 g cm⁻³. The uncorrected formation energy is 45 kJ/mol of atoms. For the energy above the lowest structure with this stoichiometry, the calculation gives 767.2 meV/atom.

Lattice parameters (Å, degrees): 7.348 7.348 7.348 90.00 90.00 90.00
Space group F-43m (No. 216)
Asymmetric unit:
Tl: 0.000 0.000 0.000 (multiplicity 4)
Rh: 0.250 0.250 0.750 (multiplicity 4)
Br: 0.000 0.000 0.500 (multiplicity 4)
Br: 0.250 0.250 0.250 (multiplicity 4)

Mg2ZrCd: relaxed, PBE.

Results
The calculation puts the total magnetization at 0.00 μB/cell. For the formation energy from the elements, the calculation gives 0.013 eV/atom. The calculation puts the density at 4.7 g cm⁻³.

Lattice parameters (Å, degrees): 3.1036 3.1036 32.0165 90.00 90.00 120.00
Space group R-3m (No. 166, hexagonal axes)
Asymmetric unit:
Mg: 0.0000 0.0000 0.2500 (multiplicity 6)
Zr: 0.0000 0.0000 0.0000 (multiplicity 3)
Cd: 0.0000 0.0000 0.5000 (multiplicity 3)

Y2MgSiC: relaxed, PBE.

Results
The calculation puts the total magnetization at 0.00 μB/cell. The calculation puts the density at 4.0 g cm⁻³. The uncorrected formation energy is -37 kJ/mol of atoms.

Lattice parameters (Å, degrees): 4.861 4.861 4.274 90.00 90.00 90.00
Space group P4/mmm (No. 123)
Asymmetric unit:
Y: 0.000 0.500 0.000 (multiplicity 2)
Mg: 0.000 0.000 0.500 (multiplicity 1)
Si: 0.500 0.500 0.500 (multiplicity 1)
C: 0.000 0.000 0.000 (multiplicity 1)

KHg3F8: relaxed, PBE.

Results
The calculation puts the total magnetization at 1.19 μB/cell. The calculation puts the density at 5.7 g cm⁻³. The uncorrected formation energy is -138 kJ/mol of atoms. For the energy above the lowest structure with this stoichiometry, the calculation gives 140.2 meV/atom.

Lattice parameters (Å, degrees): 6.1443 6.1443 7.0242 90.00 90.00 120.00
Space group P-3 (No. 147)
Asymmetric unit:
K: 0.0000 0.0000 0.0000 (multiplicity 1)
Hg: 0.0000 0.0000 0.5000 (multiplicity 1)
Hg: 0.3333 0.6667 0.5869 (multiplicity 2)
F: 0.0872 0.3560 0.3480 (multiplicity 6)
F: 0.3333 0.6667 0.8862 (multiplicity 2)

Number 1: V 14.29 Å³/atom, D(E_F) 0.0 states/eV/cell. Number 2: V 32.72 Å³/atom, D(E_F) 0.0 states/eV/cell. Number 3: V 21.08 Å³/atom, D(E_F) 2.8 states/eV/cell. Number 4: V 19.25 Å³/atom, D(E_F) 10.9 states/eV/cell. Number 5: V 24.80 Å³/atom, D(E_F) 33.2 states/eV/cell. Number 6: V 22.26 Å³/atom, D(E_F) 8.2 states/eV/cell. Number 7: V 20.20 Å³/atom, D(E_F) 0.7 states/eV/cell. Number 8: V 19.14 Å³/atom, D(E_F) 15.9 states/eV/cell.